(1)
## CoHgRh (meta-GGA SCAN)

Data for CoHgRh at its PBEsol-relaxed geometry.

POSCAR file:
```
CoHgRh
1.0
5.964 0.000 0.000
0.000 5.964 0.000
0.000 0.000 5.964
Co Hg Rh
4 4 4
Direct
0.000 0.000 0.000
0.000 0.500 0.500
0.500 0.000 0.500
0.500 0.500 0.000
0.250 0.250 0.250
0.250 0.750 0.750
0.750 0.250 0.750
0.750 0.750 0.250
0.000 0.000 0.500
0.000 0.500 0.000
0.500 0.000 0.000
0.500 0.500 0.500
```

The space-group type is F-43m. As for the total magnetization: 2.622 μB/f.u. As for the total energy: -38.892 eV per atom. The energy of formation from the pure elements comes out at 0.85 eV per atom.

---

(2)
## CoHg2Rh (meta-GGA SCAN)

Data for CoHg2Rh at its PBEsol-relaxed geometry.

POSCAR file:
```
CoHg2Rh
1.0
10.011 0.000 0.000
0.000 2.891 0.000
-1.541 0.000 4.425
Co Hg Rh
2 4 2
Direct
0.000 0.000 0.000
0.500 0.500 0.000
0.035 0.500 0.521
0.252 0.500 0.164
0.535 0.000 0.521
0.752 0.000 0.164
0.296 0.000 0.696
0.796 0.500 0.696
```

The space-group type is Cm. As for the total magnetization: 2.216 μB/f.u. As for the total energy: -46.570 eV per atom. The energy of formation from the pure elements comes out at 0.28 eV per atom.

---

(3)
## CoHgRh2 (meta-GGA SCAN)

Data for CoHgRh2 at its PBEsol-relaxed geometry.

POSCAR file:
```
CoHgRh2
1.0
6.144 0.000 0.000
0.000 6.144 0.000
0.000 0.000 6.144
Co Hg Rh
4 4 8
Direct
0.000 0.000 0.000
0.000 0.500 0.500
0.500 0.000 0.500
0.500 0.500 0.000
0.250 0.250 0.750
0.250 0.750 0.250
0.750 0.250 0.250
0.750 0.750 0.750
0.000 0.000 0.500
0.000 0.500 0.000
0.250 0.250 0.250
0.250 0.750 0.750
0.500 0.000 0.000
0.500 0.500 0.500
0.750 0.250 0.750
0.750 0.750 0.250
```

The space-group type is F-43m. As for the total magnetization: 3.436 μB/f.u. As for the total energy: -37.974 eV per atom. The energy of formation from the pure elements comes out at 0.28 eV per atom.

---

(4)
## CoHg2Rh (meta-GGA SCAN)

Data for CoHg2Rh at its PBEsol-relaxed geometry.

POSCAR file:
```
CoHg2Rh
1.0
2.891 0.000 0.000
0.000 2.891 0.000
0.000 0.000 7.779
Co Hg Rh
1 2 1
Direct
0.000 0.000 0.000
0.000 0.000 0.559
0.500 0.500 0.237
0.500 0.500 0.816
```

The space-group type is P4mm. As for the total magnetization: 2.790 μB/f.u. As for the total energy: -46.621 eV per atom. The energy of formation from the pure elements comes out at 0.23 eV per atom.

---

(5)
## CoHg2Ru (meta-GGA SCAN)

Data for CoHg2Ru at its PBEsol-relaxed geometry.

POSCAR file:
```
CoHg2Ru
1.0
3.142 0.000 0.000
0.000 3.142 0.000
0.000 0.000 6.332
Co Hg Ru
1 2 1
Direct
0.000 0.000 0.000
0.500 0.500 0.238
0.500 0.500 0.762
0.000 0.000 0.500
```

The space-group type is P4/mmm. As for the total magnetization: 2.655 μB/f.u. As for the total energy: -46.470 eV per atom. The energy of formation from the pure elements comes out at 0.65 eV per atom.

---

(6)
## CoHgRu2 (meta-GGA SCAN)

Data for CoHgRu2 at its PBEsol-relaxed geometry.

POSCAR file:
```
CoHgRu2
1.0
2.721 0.000 0.000
0.000 4.401 0.000
0.000 0.000 9.450
Co Hg Ru
2 2 4
Direct
0.000 0.000 0.000
0.500 0.500 0.500
0.000 0.000 0.500
0.500 0.500 0.000
0.000 0.500 0.283
0.000 0.500 0.717
0.500 0.000 0.217
0.500 0.000 0.783
```

The space-group type is Immm. As for the total magnetization: 2.065 μB/f.u. As for the total energy: -38.247 eV per atom. The energy of formation from the pure elements comes out at 0.53 eV per atom.

---

Repeat the first record exactly.
## CoHgRh (meta-GGA SCAN)

Data for CoHgRh at its PBEsol-relaxed geometry.

POSCAR file:
```
CoHgRh
1.0
5.964 0.000 0.000
0.000 5.964 0.000
0.000 0.000 5.964
Co Hg Rh
4 4 4
Direct
0.000 0.000 0.000
0.000 0.500 0.500
0.500 0.000 0.500
0.500 0.500 0.000
0.250 0.250 0.250
0.250 0.750 0.750
0.750 0.250 0.750
0.750 0.750 0.250
0.000 0.000 0.500
0.000 0.500 0.000
0.500 0.000 0.000
0.500 0.500 0.500
```

The space-group type is F-43m. As for the total magnetization: 2.622 μB/f.u. As for the total energy: -38.892 eV per atom. The energy of formation from the pure elements comes out at 0.85 eV per atom.

---

Question: Among the records above, which one has the lowest energy of formation from the pure elements?
Answer: number 4